## AgBSe3 (PBE-GGA)

Data for a geometry-optimized AgBSe3 structure.

Values from the calculation:
ΔE_f (raw), eV per formula unit: 0.17
Distance to the lowest polymorph of the same formula, meV per atom: 0.0
Space-group type: P-1
Density, Mg/m³: 5.3

Lattice parameters (Å, degrees): 5.6630 5.7345 7.1903 86.12 73.95 82.41
Closest atoms and distances in Å follow each position.
Sites, in units of the cell vectors:
Ag 0.2432 0.0351 0.3413  5 Se 2.68-2.98
Ag 0.7568 0.9649 0.6587  5 Se 2.68-2.98
B 0.3267 0.5651 0.6759  4 Se 2.05-2.13
B 0.6733 0.4349 0.3241  4 Se 2.05-2.13
Se 0.1794 0.3697 0.9221  1 B 2.06
Se 0.2247 0.9189 0.7115  1 B 2.05
Se 0.2915 0.5146 0.3948  2 B 2.08-2.13
Se 0.7085 0.4854 0.6052  2 B 2.08-2.13
Se 0.7753 0.0811 0.2885  1 B 2.05
Se 0.8206 0.6303 0.0779  1 B 2.06



## Cs4RbH5 (PBE-GGA)

Data for a geometry-optimized Cs4RbH5 structure.

Values from the calculation:
Final energy, eV per atom: -2.28
Space-group type: R-3m
Density, Mg/m³: 3.3

Lattice parameters (Å, degrees): 18.3765 18.3765 18.3765 13.90 13.90 13.90
Closest atoms and distances in Å follow each position.
Sites, in units of the cell vectors:
Cs 0.1020 0.1020 0.1020  6 H 3.17
Cs 0.2993 0.2993 0.2993  6 H 3.17
Cs 0.7007 0.7007 0.7007  6 H 3.17
Cs 0.8980 0.8980 0.8980  6 H 3.17
Rb 0.5000 0.5000 0.5000  6 H 3.06
H 0.0000 0.0000 0.0000  6 Cs 3.17
H 0.1972 0.1972 0.1972  3 Rb 3.06, 3 Cs 3.17
H 0.4013 0.4013 0.4013  6 Cs 3.17
H 0.5987 0.5987 0.5987  6 Cs 3.17
H 0.8028 0.8028 0.8028  3 Rb 3.06, 3 Cs 3.17



## LiMnIn (PBE-GGA)

Data for a geometry-optimized LiMnIn structure.

Values from the calculation:
Energy of formation from the pure elements, meV/atom: 375.7
Distance to the lowest polymorph of the same formula, meV per atom: 295.9
Space-group type: F-43m
Density, Mg/m³: 5.2

Lattice parameters (Å, degrees): 4.3190 4.3190 4.3190 60.00 60.00 60.00
Closest atoms and distances in Å follow each position.
Sites, in units of the cell vectors:
Li 0.0000 0.0000 0.0000  4 Mn 2.64, 4 In 2.64
Mn 0.7500 0.7500 0.7500  4 Li 2.64
In 0.2500 0.2500 0.2500  4 Li 2.64



## Co2Ni2Ir5 (PBE-GGA)

Data for a geometry-optimized Co2Ni2Ir5 structure.

Values from the calculation:
Energy of formation from the pure elements, meV/atom: 52.1
Space-group type: C2/m
Density, Mg/m³: 16.8

Lattice parameters (Å, degrees): 5.9155 5.9155 5.9120 107.67 107.67 37.17
Closest atoms and distances in Å follow each position.
Sites, in units of the cell vectors:
Co 0.1080 0.1080 0.1594  1 Co 2.55, 4 Ni 2.63, 7 Ir 2.64-2.72
Co 0.8920 0.8920 0.8406  1 Co 2.55, 4 Ni 2.63, 7 Ir 2.64-2.72
Ni 0.4464 0.4464 0.1674  7 Ir 2.58-2.69, 1 Ni 2.62, 4 Co 2.63
Ni 0.5536 0.5536 0.8326  7 Ir 2.58-2.69, 1 Ni 2.62, 4 Co 2.63
Ir 0.0000 0.0000 0.5000  4 Ni 2.65, 6 Ir 2.65-2.67, 2 Co 2.66
Ir 0.2256 0.2256 0.8378  6 Ir 2.61-2.70, 3 Ni 2.61-2.69, 3 Co 2.64-2.65
Ir 0.3350 0.3350 0.5084  2 Ni 2.58-2.69, 7 Ir 2.61-2.70, 3 Co 2.65-2.72
Ir 0.6650 0.6650 0.4916  2 Ni 2.58-2.69, 7 Ir 2.61-2.70, 3 Co 2.65-2.72
Ir 0.7744 0.7744 0.1622  6 Ir 2.61-2.70, 3 Ni 2.61-2.69, 3 Co 2.64-2.65



## NdEr2ScS4 (PBE-GGA)

Data for a geometry-optimized NdEr2ScS4 structure.

Values from the calculation:
ΔE_f (raw), eV per formula unit: -15.36
Space-group type: P2/m
Density, Mg/m³: 6.5

Lattice parameters (Å, degrees): 6.7147 3.8425 6.7935 90.00 108.93 90.00
Closest atoms and distances in Å follow each position.
Sites, in units of the cell vectors:
Nd 0.0000 0.0000 0.0000  6 S 2.81-2.82
Er 0.5000 0.0000 0.5000  6 S 2.68
Er 0.5000 0.5000 0.0000  6 S 2.79
Sc 0.0000 0.5000 0.5000  6 S 2.71
S 0.2485 0.0000 0.7367  3 Er 2.68-2.79, 2 Sc 2.71, 1 Nd 2.81
S 0.2585 0.5000 0.2660  3 Er 2.68-2.79, 1 Sc 2.71, 2 Nd 2.82
S 0.7415 0.5000 0.7340  3 Er 2.68-2.79, 1 Sc 2.71, 2 Nd 2.82
S 0.7515 0.0000 0.2633  3 Er 2.68-2.79, 2 Sc 2.71, 1 Nd 2.81



## BaTl2Ru (PBE-GGA)

Data for a geometry-optimized BaTl2Ru structure.

Values from the calculation:
Energy of formation from the pure elements, meV/atom: 480.1
Space-group type: P4/mmm
Density, Mg/m³: 9.6

Lattice parameters (Å, degrees): 4.6222 4.6222 5.2394 90.00 90.00 90.00
Closest atoms and distances in Å follow each position.
Sites, in units of the cell vectors:
Ba 0.0000 0.0000 0.0000  4 Ru 3.27, 8 Tl 3.49
Tl 0.0000 0.5000 0.5000  4 Tl 3.27, 4 Ba 3.49, 4 Ru 3.49
Tl 0.5000 0.0000 0.5000  4 Tl 3.27, 4 Ba 3.49, 4 Ru 3.49
Ru 0.5000 0.5000 0.0000  4 Ba 3.27, 8 Tl 3.49